Record 1
Density functional theory data (meta-GGA SCAN) for K2LiCoF6 at its PBEsol-relaxed geometry.

Properties
Electronic total energy ... -8.59 eV/atom
Fermi-level density of states ... 0.00 states/eV/cell
M_tot ... 0.1 μB/cell
ΔE_f (raw) ... -2833 meV/atom
ρ ... 3.59 g cm⁻³

Cell: 5.529 5.529 5.529 Å, 60.00 60.00 60.00°
Each line ends with the local moment (μB).
Positions (direct):
F1 0.737 0.263 0.263  0.00
F2 0.263 0.737 0.263  0.00
F3 0.737 0.263 0.737  0.00
F4 0.263 0.263 0.737  0.00
F5 0.737 0.737 0.263  0.00
F6 0.263 0.737 0.737  0.00
Li1 0.000 0.000 0.000  0.00
Co1 0.500 0.500 0.500  0.10
K1 0.250 0.250 0.250  0.00
K2 0.750 0.750 0.750  0.00

Record 2
Density functional theory data (meta-GGA SCAN) for KCo2PdF at its PBEsol-relaxed geometry.

Properties
Electronic total energy ... -14.85 eV/atom
Fermi-level density of states ... 1.87 states/eV/cell
M_tot ... 4.2 μB/cell
ΔE_f (raw) ... 997 meV/atom
ρ ... 5.29 g cm⁻³

Cell: 4.194 4.595 4.595 Å, 90.00 90.00 90.00°
Each line ends with the local moment (μB).
Positions (direct):
Co1 0.000 0.000 0.500  1.99
Co2 0.000 0.500 0.000  1.99
Pd1 0.500 0.500 0.500  0.08
F1 0.500 0.000 0.000  0.00
K1 0.000 0.000 0.000  0.08

Record 3
Density functional theory data (meta-GGA SCAN) for LaNb2CoF at its PBEsol-relaxed geometry.

Properties
Electronic total energy ... -24.26 eV/atom
Fermi-level density of states ... 4.69 states/eV/cell
M_tot ... 0.0 μB/cell
ΔE_f (raw) ... 1778 meV/atom
ρ ... 6.44 g cm⁻³

Cell: 4.278 4.928 4.928 Å, 90.00 90.00 90.00°
Positions (direct):
Co1 0.500 0.000 0.000
F1 0.500 0.500 0.500
Nb1 0.000 0.000 0.500
Nb2 0.000 0.500 0.000
La1 0.000 0.000 0.000

Record 4
Density functional theory data (meta-GGA SCAN) for LaCoTe2F at its PBEsol-relaxed geometry.

Properties
Electronic total energy ... -29.05 eV/atom
Fermi-level density of states ... 1.38 states/eV/cell
M_tot ... 1.0 μB/cell
ΔE_f (raw) ... -1355 meV/atom
ρ ... 7.17 g cm⁻³

Cell: 4.041 5.203 5.203 Å, 90.00 90.00 90.00°
Each line ends with the local moment (μB).
Positions (direct):
Te1 0.000 0.500 0.000  -0.07
Te2 0.000 0.000 0.500  -0.07
Co1 0.000 0.000 0.000  1.19
La1 0.500 0.500 0.500  0.01
F1 0.500 0.000 0.000  -0.03

Record 5
Density functional theory data (meta-GGA SCAN) for LaZn2CoF at its PBEsol-relaxed geometry.

Properties
Electronic total energy ... -18.20 eV/atom
Fermi-level density of states ... 2.88 states/eV/cell
M_tot ... 1.9 μB/cell
ΔE_f (raw) ... -3 meV/atom
ρ ... 4.01 g cm⁻³

Cell: 4.368 5.740 5.740 Å, 90.00 90.00 90.00°
Each line ends with the local moment (μB).
Positions (direct):
La1 0.000 0.000 0.000  -0.08
Zn1 0.000 0.000 0.500  -0.03
Zn2 0.000 0.500 0.000  -0.03
Co1 0.500 0.500 0.500  2.13
F1 0.500 0.000 0.000  0.00

Record 6
Density functional theory data (meta-GGA SCAN) for LiMgCoF6 at its PBEsol-relaxed geometry.

Properties
Electronic total energy ... -8.07 eV/atom
Fermi-level density of states ... 0.00 states/eV/cell
M_tot ... 0.2 μB/cell
ΔE_f (raw) ... -2970 meV/atom
ρ ... 3.73 g cm⁻³

Cell: 4.535 4.535 8.845 Å, 90.00 90.00 90.00°
Each line ends with the local moment (μB).
Positions (direct):
F1 0.809 0.191 0.844  0.00
F2 0.287 0.287 0.999  0.01
F3 0.810 0.190 0.156  0.00
F4 0.309 0.309 0.344  0.00
F5 0.787 0.213 0.499  0.01
F6 0.213 0.787 0.499  0.01
F7 0.691 0.691 0.344  0.00
F8 0.310 0.310 0.656  0.00
F9 0.690 0.690 0.656  0.00
F10 0.190 0.810 0.156  0.00
F11 0.713 0.713 0.999  0.01
F12 0.191 0.809 0.844  0.00
Mg1 0.000 0.000 0.336  0.00
Mg2 0.500 0.500 0.836  0.00
Co1 0.000 0.000 0.999  0.06
Co2 0.500 0.500 0.499  0.06
Li1 0.500 0.500 0.167  0.00
Li2 0.000 0.000 0.667  0.00

Record 7
Density functional theory data (meta-GGA SCAN) for NaLiCoF2 at its PBEsol-relaxed geometry.

Properties
Electronic total energy ... -6.94 eV/atom
Fermi-level density of states ... 2.82 states/eV/cell
M_tot ... 3.0 μB/cell
ΔE_f (raw) ... -744 meV/atom
ρ ... 2.45 g cm⁻³

Cell: 4.187 4.187 4.898 Å, 90.00 90.00 90.00°
Each line ends with the local moment (μB).
Positions (direct):
F1 0.500 0.000 0.000  0.06
F2 0.000 0.500 0.000  0.06
Co1 0.000 0.000 0.500  2.60
Na1 0.000 0.000 0.000  0.01
Li1 0.500 0.500 0.500  0.00

Record 8
Density functional theory data (meta-GGA SCAN) for Li2CoOF3 at its PBEsol-relaxed geometry.

Properties
Electronic total energy ... -8.02 eV/atom
Relative energy among the computed polymorphs ... 0.000 eV per atom
M_tot ... 4.0 μB/cell
ΔE_f (raw) ... -2460 meV/atom
ρ ... 3.56 g cm⁻³

Cell: 5.698 5.766 5.754 Å, 119.12 90.00 119.61°
Each line ends with the local moment (μB).
Positions (direct):
O1 0.250 0.501 0.687  0.08
O2 0.750 0.499 0.313  0.08
F1 0.240 0.479 0.220  0.06
F2 0.760 0.521 0.780  0.06
F3 0.256 0.036 0.267  0.03
F4 0.220 0.964 0.733  0.03
F5 0.744 0.964 0.733  0.03
F6 0.780 0.036 0.267  0.03
Li1 0.618 0.236 0.893  0.00
Li2 0.000 0.000 0.000  0.00
Li3 0.000 0.000 0.500  0.00
Li4 0.382 0.764 0.107  0.00
Co1 0.500 0.500 0.500  1.75
Co2 0.000 0.500 0.500  1.75